No. 1
Computed, not measured: PmHo9Tl2 after structural relaxation at the PBE level of DFT.

Computed properties:
size of the total moment = 0.00 μB per cell
formation energy from the elements = -0.102 eV/atom
VASP energy = -4.33 eV per atom

abc: 4.856 4.856 14.993
angles: 90.00 90.00 90.00
Element x y z (fractional)
Pm  0.000  0.000  0.000
Ho  0.500  0.500  0.000
Ho  0.500  0.500  0.338
Ho  0.500  0.500  0.662
Ho  0.500  0.000  0.173
Ho  0.500  0.000  0.500
Ho  0.500  0.000  0.827
Ho  0.000  0.500  0.173
Ho  0.000  0.500  0.500
Ho  0.000  0.500  0.827
Tl  0.000  0.000  0.340
Tl  0.000  0.000  0.660

***

No. 2
Computed, not measured: KBeW2 after structural relaxation at the PBE level of DFT.

Computed properties:
size of the total moment = 0.15 μB per cell
formation energy from the elements = 1.629 eV/atom
VASP energy = -6.05 eV per atom

abc: 4.609 4.609 4.597
angles: 120.11 120.11 89.96
Last column: magnetic moment on the atom in μB.
Element x y z (fractional)
Be  0.500  0.500  0.000  0.00
K  0.750  0.250  0.500  0.01
W  0.000  0.000  0.000  -0.02
W  0.250  0.750  0.500  0.12

***

No. 3
Computed, not measured: Na2ZnCd after structural relaxation at the PBE level of DFT.

Computed properties:
size of the total moment = 0.00 μB per cell
formation energy from the elements = -0.022 eV/atom
VASP energy = -1.23 eV per atom

abc: 5.587 6.143 6.143
angles: 105.89 90.00 90.00
Element x y z (fractional)
Na  0.750  0.018  0.646
Na  0.250  0.982  0.354
Na  0.250  0.354  0.982
Na  0.750  0.646  0.018
Zn  0.000  0.500  0.500
Zn  0.500  0.500  0.500
Cd  0.750  0.177  0.177
Cd  0.250  0.823  0.823